No. 1
Material: Sr2OsBr
Method: DFT, PBE
State: relaxed

Values from the calculation:
Formation energy (no corrections) (meV/atom): 168.5
DOS at the Fermi energy (states/eV/cell): 10.276
Total DFT energy (no corrections) (eV per atom): -3.90

Cell lengths 8.0197, 8.0197, 8.2096 Å; angles 90.00, 90.00, 90.00 degrees
Last column: nearest neighbours and their distance in Å.
Atoms (fractional coordinates):
Sr 0.2297 0.7500 0.1250  2 Os 2.91, 2 Br 3.13
Sr 0.2500 0.2297 0.8750  2 Os 2.91, 2 Br 3.13
Sr 0.2500 0.2703 0.3750  2 Os 2.91, 2 Br 3.13
Sr 0.2703 0.7500 0.6250  2 Os 2.91, 2 Br 3.13
Sr 0.7297 0.2500 0.6250  2 Os 2.91, 2 Br 3.13
Sr 0.7500 0.7297 0.3750  2 Os 2.91, 2 Br 3.13
Sr 0.7500 0.7703 0.8750  2 Os 2.91, 2 Br 3.13
Sr 0.7703 0.2500 0.1250  2 Os 2.91, 2 Br 3.13
Os 0.0000 0.0000 0.0000  4 Sr 2.91
Os 0.0000 0.5000 0.2500  4 Sr 2.91
Os 0.5000 0.0000 0.7500  4 Sr 2.91
Os 0.5000 0.5000 0.5000  4 Sr 2.91
Br 0.0000 0.0000 0.5000  4 Sr 3.13
Br 0.0000 0.5000 0.7500  4 Sr 3.13
Br 0.5000 0.0000 0.2500  4 Sr 3.13
Br 0.5000 0.5000 0.0000  4 Sr 3.13

=====

No. 2
Material: La5PrEr3
Method: DFT, PBE
State: relaxed

Values from the calculation:
DOS at the Fermi energy (states/eV/cell): 27.557
Total DFT energy (no corrections) (eV per atom): -4.54

Cell lengths 9.9860, 9.9860, 11.3875 Å; angles 113.10, 113.10, 39.15 degrees
Last column: nearest neighbours and their distance in Å.
Atoms (fractional coordinates):
La 0.0235 0.6353 0.2854  4 Er 3.45-3.73, 2 La 3.49-3.58, 1 Pr 3.57
La 0.0990 0.9010 0.7500  1 Pr 3.05, 2 La 3.28
La 0.1665 0.4975 0.6387  4 La 3.28-3.58, 1 Pr 3.54, 1 Er 3.59
La 0.3647 0.9765 0.2146  4 Er 3.45-3.73, 2 La 3.49-3.58, 1 Pr 3.57
La 0.4975 0.1665 0.1387  4 La 3.28-3.58, 1 Pr 3.54, 1 Er 3.59
La 0.5025 0.8335 0.8613  4 La 3.28-3.58, 1 Pr 3.54, 1 Er 3.59
La 0.6353 0.0235 0.7854  4 Er 3.45-3.73, 2 La 3.49-3.58, 1 Pr 3.57
La 0.8335 0.5025 0.3613  4 La 3.28-3.58, 1 Pr 3.54, 1 Er 3.59
La 0.9010 0.0990 0.2500  1 Pr 3.05, 2 La 3.28
La 0.9765 0.3647 0.7146  4 Er 3.45-3.73, 2 La 3.49-3.58, 1 Pr 3.57
Pr 0.3565 0.6435 0.2500  2 Er 3.00, 1 La 3.05
Pr 0.6435 0.3565 0.7500  2 Er 3.00, 1 La 3.05
Er 0.0433 0.6387 0.9861  1 Pr 3.40, 4 La 3.45-3.59, 2 Er 3.54-3.62
Er 0.3613 0.9567 0.5139  1 Pr 3.40, 4 La 3.45-3.59, 2 Er 3.54-3.62
Er 0.5000 0.5000 0.0000  2 Pr 3.00
Er 0.5000 0.5000 0.5000  2 Pr 3.00
Er 0.6387 0.0433 0.4861  1 Pr 3.40, 4 La 3.45-3.59, 2 Er 3.54-3.62
Er 0.9567 0.3613 0.0139  1 Pr 3.40, 4 La 3.45-3.59, 2 Er 3.54-3.62

=====

No. 3
Material: Na3Zn2Sn4
Method: DFT, PBE
State: relaxed

Values from the calculation:
DOS at the Fermi energy (states/eV/cell): 3.589
Total DFT energy (no corrections) (eV per atom): -2.61

Cell lengths 6.1358, 6.1358, 9.4461 Å; angles 103.60, 103.60, 44.83 degrees
Last column: nearest neighbours and their distance in Å.
Atoms (fractional coordinates):
Na 0.0000 0.0000 0.0000  6 Sn 3.26-3.52
Na 0.3804 0.3804 0.3037  4 Zn 3.31-3.61, 8 Sn 3.34-3.65
Na 0.6196 0.6196 0.6963  4 Zn 3.31-3.61, 8 Sn 3.34-3.65
Zn 0.3221 0.3221 0.6624  4 Sn 2.70-2.86
Zn 0.6779 0.6779 0.3376  4 Sn 2.70-2.86
Sn 0.1030 0.1030 0.4320  3 Zn 2.72-2.86, 1 Sn 2.94
Sn 0.2933 0.2933 0.9378  1 Zn 2.70, 2 Sn 2.90
Sn 0.7067 0.7067 0.0622  1 Zn 2.70, 2 Sn 2.90
Sn 0.8970 0.8970 0.5680  3 Zn 2.72-2.86, 1 Sn 2.94